Computed, not measured: crystalline KAlV2Sn at its relaxed geometry at the PBE-GGA level of DFT.

Unit cell a=5.340 b=5.340 c=5.438 alpha=90.00 beta=90.00 gamma=90.00
Space group P4/mmm (No. 123)
Asymmetric unit:
K 0.000 0.000 0.000 x1
Al 0.500 0.500 0.000 x1
V 0.000 0.500 0.500 x2
Sn 0.500 0.500 0.500 x1

Formation energy from the elements in eV/atom: 1.09
Total magnetization in μB per atom: 1.573
E in eV/atom: -4.3221